Record 1
The following is a DFT calculation (PBEsol) of a geometry-optimized Sr2SmTaCu2O8 structure.

a b c (Å): 3.8979 3.8979 11.4616
angles (deg): 90.00 90.00 90.00
Atoms (fractional coordinates):
Sr1 0.0000 0.0000 0.2012
Sr2 0.0000 0.0000 0.7988
Sm1 0.0000 0.0000 0.5000
Ta1 0.5000 0.5000 0.0000
Cu1 0.5000 0.5000 0.3606
Cu2 0.5000 0.5000 0.6394
O1 0.0000 0.5000 0.0000
O2 0.0000 0.5000 0.3706
O3 0.0000 0.5000 0.6294
O4 0.5000 0.0000 0.0000
O5 0.5000 0.0000 0.3706
O6 0.5000 0.0000 0.6294
O7 0.5000 0.5000 0.1714
O8 0.5000 0.5000 0.8286

***

Record 2
The following is a DFT calculation (PBEsol) of a geometry-optimized Sm2Ti12Cu9O36 structure.

a b c (Å): 10.4058 10.4058 6.3937
angles (deg): 90.00 90.00 120.00
Atoms (fractional coordinates):
Sm1 0.3333 0.6667 0.3285
Sm2 0.6667 0.3333 0.6715
Ti1 0.0000 0.0000 0.5000
Ti2 0.0000 0.5000 0.5000
Ti3 0.1575 0.8390 0.1621
Ti4 0.1610 0.3185 0.1621
Ti5 0.3185 0.1575 0.8379
Ti6 0.3333 0.6667 0.8395
Ti7 0.5000 0.0000 0.5000
Ti8 0.5000 0.5000 0.5000
Ti9 0.6667 0.3333 0.1605
Ti10 0.6815 0.8425 0.1621
Ti11 0.8390 0.6815 0.8379
Ti12 0.8425 0.1610 0.8379
Cu1 0.0000 0.5000 0.0000
Cu2 0.1684 0.3369 0.6604
Cu3 0.1684 0.8316 0.6604
Cu4 0.3369 0.1684 0.3396
Cu5 0.5000 0.0000 0.0000
Cu6 0.5000 0.5000 0.0000
Cu7 0.6631 0.8316 0.6604
Cu8 0.8316 0.1684 0.3396
Cu9 0.8316 0.6631 0.3396
O1 0.0153 0.8507 0.3306
O2 0.0454 0.7757 0.9088
O3 0.0741 0.6250 0.2489
O4 0.1176 0.4100 0.4125
O5 0.1493 0.1646 0.3306
O6 0.1646 0.0153 0.6694
O7 0.1762 0.6500 0.6463
O8 0.1914 0.5084 0.0152
O9 0.2243 0.2698 0.9088
O10 0.2698 0.0454 0.0912
O11 0.2924 0.8824 0.4125
O12 0.3170 0.8086 0.0152
O13 0.3500 0.5262 0.6463
O14 0.3750 0.4491 0.2489
O15 0.4100 0.2924 0.5875
O16 0.4491 0.0741 0.7511
O17 0.4738 0.8238 0.6463
O18 0.4916 0.6830 0.0152
O19 0.5084 0.3170 0.9848
O20 0.5262 0.1762 0.3537
O21 0.5509 0.9259 0.2489
O22 0.5900 0.7076 0.4125
O23 0.6250 0.5509 0.7511
O24 0.6500 0.4738 0.3537
O25 0.6830 0.1914 0.9848
O26 0.7076 0.1176 0.5875
O27 0.7302 0.9546 0.9088
O28 0.7757 0.7302 0.0912
O29 0.8086 0.4916 0.9848
O30 0.8238 0.3500 0.3537
O31 0.8354 0.9847 0.3306
O32 0.8507 0.8354 0.6694
O33 0.8824 0.5900 0.5875
O34 0.9259 0.3750 0.7511
O35 0.9546 0.2243 0.0912
O36 0.9847 0.1493 0.6694

***

Record 3
The following is a DFT calculation (PBEsol) of a geometry-optimized SmCuW2O8 structure.

a b c (Å): 4.9930 6.0206 6.1360
angles (deg): 109.14 92.17 112.50
Atoms (fractional coordinates):
Sm1 0.0000 0.0000 0.0000
Cu1 0.5000 0.0000 0.5000
W1 0.2446 0.4797 0.6665
W2 0.7554 0.5203 0.3335
O1 0.0057 0.2508 0.7769
O2 0.0283 0.6905 0.6651
O3 0.4641 0.2965 0.5220
O4 0.4983 0.2709 0.0749
O5 0.5017 0.7291 0.9251
O6 0.5359 0.7035 0.4780
O7 0.9717 0.3095 0.3349
O8 0.9943 0.7492 0.2231

***

Number 1: raw total energy -7.5574 eV per atom, uncorrected formation energy -2.415 eV per atom. Number 2: raw total energy -8.0586 eV per atom, uncorrected formation energy -2.329 eV per atom. Number 3: raw total energy -8.8075 eV per atom, uncorrected formation energy -2.221 eV per atom.